Below is a relaxed Er4ZnGa3 crystal, with properties calculated at the PBE level.

symmetry	P4/mmm, No. 123
calculated total energy	-4.1078	eV per atom
energy of formation	-532	meV per atom

```
Er4ZnGa3
1.0
5.018 0.000 0.000
0.000 5.018 0.000
0.000 0.000 7.031
Er Zn Ga
4 1 3
direct
0.000 0.500 0.249 Er
0.000 0.500 0.751 Er
0.500 0.000 0.249 Er
0.500 0.000 0.751 Er
0.000 0.000 0.000 Zn
0.000 0.000 0.500 Ga
0.500 0.500 0.000 Ga
0.500 0.500 0.500 Ga
```